(1)
A plane-wave DFT calculation with PBE was carried out for a geometry-optimized AlTcAs2 structure.

a = 3.298 Å, b = 4.634 Å, c = 8.404 Å
α = 90.00°, β = 90.00°, γ = 90.00°
Fractional positions:
Al 0.000 0.000 0.000
Al 0.500 0.500 0.500
Tc 0.000 0.500 0.237
Tc 0.500 0.000 0.737
As 0.000 0.000 0.501
As 0.000 0.500 0.743
As 0.500 0.000 0.243
As 0.500 0.500 0.001

Summary:
Energy relative to the elements, eV per atom: 0.14
Energy, eV/atom: -5.711
Space-group type: Imm2 (44)



(2)
A plane-wave DFT calculation with PBE was carried out for a geometry-optimized AlTcAs2 structure.

a = 4.045 Å, b = 4.859 Å, c = 4.075 Å
α = 90.00°, β = 109.14°, γ = 90.00°
Fractional positions:
Al 0.000 0.000 0.000
Tc 0.300 0.500 0.184
As 0.618 0.000 0.374
As 0.662 0.500 0.821

Summary:
Energy relative to the elements, eV per atom: 0.01
Energy, eV/atom: -5.842
Space-group type: Pm (6)



(3)
A plane-wave DFT calculation with PBE was carried out for a geometry-optimized AlTcAs2 structure.

a = 3.373 Å, b = 4.277 Å, c = 4.940 Å
α = 90.00°, β = 102.22°, γ = 90.00°
Fractional positions:
Al 0.000 0.000 0.000
Tc 0.500 0.000 0.500
As 0.409 0.500 0.752
As 0.591 0.500 0.248

Summary:
Energy relative to the elements, eV per atom: 0.14
Energy, eV/atom: -5.707
Space-group type: P2/m (10)



(4)
A plane-wave DFT calculation with PBE was carried out for a geometry-optimized AlTcAs structure.

a = 3.058 Å, b = 3.058 Å, c = 5.950 Å
α = 90.00°, β = 90.00°, γ = 120.00°
Fractional positions:
Al 0.000 0.000 0.000
Tc 0.333 0.667 0.674
As 0.667 0.333 0.378

Summary:
Energy relative to the elements, eV per atom: -0.21
Energy relative to the lowest polymorph listed for this composition, meV/atom: 25
Energy, eV/atom: -6.467
Space-group type: P3m1 (156)



(5)
A plane-wave DFT calculation with PBE was carried out for a geometry-optimized AlTcAs structure.

a = 5.897 Å, b = 5.897 Å, c = 5.897 Å
α = 90.00°, β = 90.00°, γ = 90.00°
Fractional positions:
Al 0.000 0.000 0.000
Al 0.000 0.500 0.500
Al 0.500 0.000 0.500
Al 0.500 0.500 0.000
Tc 0.000 0.000 0.500
Tc 0.000 0.500 0.000
Tc 0.500 0.000 0.000
Tc 0.500 0.500 0.500
As 0.250 0.250 0.250
As 0.250 0.750 0.750
As 0.750 0.250 0.750
As 0.750 0.750 0.250

Summary:
Energy relative to the elements, eV per atom: 0.28
Energy relative to the lowest polymorph listed for this composition, meV/atom: 523
Energy, eV/atom: -5.969
Space-group type: F-43m (216)



(6)
A plane-wave DFT calculation with PBE was carried out for a geometry-optimized AlTc2As structure.

a = 7.283 Å, b = 7.283 Å, c = 5.122 Å
α = 90.00°, β = 90.00°, γ = 90.00°
Fractional positions:
Al 0.000 0.000 0.000
Al 0.000 0.500 0.250
Al 0.500 0.000 0.750
Al 0.500 0.500 0.500
Tc 0.186 0.250 0.625
Tc 0.250 0.686 0.875
Tc 0.250 0.814 0.375
Tc 0.314 0.250 0.125
Tc 0.686 0.750 0.125
Tc 0.750 0.186 0.375
Tc 0.750 0.314 0.875
Tc 0.814 0.750 0.625
As 0.000 0.000 0.500
As 0.000 0.500 0.750
As 0.500 0.000 0.250
As 0.500 0.500 0.000

Summary:
Energy relative to the elements, eV per atom: 0.43
Energy relative to the lowest polymorph listed for this composition, meV/atom: 635
Energy, eV/atom: -6.856
Space-group type: I-42d (122)



(7)
A plane-wave DFT calculation with PBE was carried out for a geometry-optimized Al3TcAs structure.

a = 4.738 Å, b = 4.738 Å, c = 4.738 Å
α = 90.00°, β = 90.00°, γ = 90.00°
Fractional positions:
Al 0.000 0.000 0.500
Al 0.000 0.500 0.000
Al 0.500 0.000 0.000
Tc 0.000 0.000 0.000
As 0.500 0.500 0.500

Summary:
Energy relative to the elements, eV per atom: 0.50
Energy relative to the lowest polymorph listed for this composition, meV/atom: 0
Energy, eV/atom: -4.751
Space-group type: Pm-3m (221)



(8)
A plane-wave DFT calculation with PBE was carried out for a geometry-optimized AlTcAs2 structure.

a = 2.992 Å, b = 2.992 Å, c = 27.603 Å
α = 90.00°, β = 90.00°, γ = 120.00°
Fractional positions:
Al 0.000 0.000 0.000
Al 0.333 0.667 0.667
Al 0.667 0.333 0.333
Tc 0.000 0.000 0.259
Tc 0.333 0.667 0.926
Tc 0.667 0.333 0.593
As 0.000 0.000 0.526
As 0.000 0.000 0.744
As 0.333 0.667 0.193
As 0.333 0.667 0.410
As 0.667 0.333 0.077
As 0.667 0.333 0.860

Summary:
Energy relative to the elements, eV per atom: -0.05
Energy, eV/atom: -5.898
Space-group type: R3m (160)



(9)
A plane-wave DFT calculation with PBE was carried out for a geometry-optimized Al2Tc4As structure.

a = 4.445 Å, b = 4.445 Å, c = 12.775 Å
α = 90.00°, β = 90.00°, γ = 90.00°
Fractional positions:
Al 0.000 0.000 0.122
Al 0.000 0.000 0.878
Al 0.500 0.500 0.378
Al 0.500 0.500 0.622
Tc 0.000 0.000 0.316
Tc 0.000 0.000 0.684
Tc 0.000 0.500 0.000
Tc 0.000 0.500 0.500
Tc 0.500 0.000 0.000
Tc 0.500 0.000 0.500
Tc 0.500 0.500 0.184
Tc 0.500 0.500 0.816
As 0.000 0.000 0.500
As 0.500 0.500 0.000

Summary:
Energy relative to the elements, eV per atom: 0.78
Energy, eV/atom: -6.873
Space-group type: I4/mmm (139)



(10)
A plane-wave DFT calculation with PBE was carried out for a geometry-optimized AlTcAs2 structure.

a = 5.629 Å, b = 5.629 Å, c = 11.548 Å
α = 90.00°, β = 90.00°, γ = 90.00°
Fractional positions:
Al 0.000 0.000 0.000
Al 0.000 0.500 0.250
Al 0.500 0.000 0.750
Al 0.500 0.500 0.500
Tc 0.000 0.000 0.500
Tc 0.000 0.500 0.750
Tc 0.500 0.000 0.250
Tc 0.500 0.500 0.000
As 0.233 0.250 0.625
As 0.250 0.733 0.875
As 0.250 0.767 0.375
As 0.267 0.250 0.125
As 0.733 0.750 0.125
As 0.750 0.233 0.375
As 0.750 0.267 0.875
As 0.767 0.750 0.625

Summary:
Energy relative to the elements, eV per atom: 0.13
Energy, eV/atom: -5.727
Space-group type: I-42d (122)



(11)
A plane-wave DFT calculation with PBE was carried out for a geometry-optimized AlTc4As structure.

a = 5.159 Å, b = 5.159 Å, c = 5.159 Å
α = 60.00°, β = 60.00°, γ = 60.00°
Fractional positions:
Al 0.000 0.000 0.000
Tc 0.376 0.376 0.376
Tc 0.376 0.376 0.873
Tc 0.376 0.873 0.376
Tc 0.873 0.376 0.376
As 0.750 0.750 0.750

Summary:
Energy relative to the elements, eV per atom: 0.36
Energy, eV/atom: -7.947
Space-group type: F-43m (216)



(12)
A plane-wave DFT calculation with PBE was carried out for a geometry-optimized AlTcAs structure.

a = 3.272 Å, b = 3.272 Å, c = 8.336 Å
α = 90.00°, β = 90.00°, γ = 90.00°
Fractional positions:
Al 0.000 0.000 0.000
Al 0.500 0.500 0.500
Tc 0.000 0.000 0.334
Tc 0.500 0.500 0.834
As 0.000 0.000 0.674
As 0.500 0.500 0.174

Summary:
Energy relative to the elements, eV per atom: -0.24
Energy relative to the lowest polymorph listed for this composition, meV/atom: 0
Energy, eV/atom: -6.492
Space-group type: I4mm (107)



(13)
A plane-wave DFT calculation with PBE was carried out for a geometry-optimized AlTc3As structure.

a = 4.526 Å, b = 4.526 Å, c = 4.526 Å
α = 90.00°, β = 90.00°, γ = 90.00°
Fractional positions:
Al 0.000 0.000 0.000
Tc 0.000 0.500 0.500
Tc 0.500 0.000 0.500
Tc 0.500 0.500 0.000
As 0.500 0.500 0.500

Summary:
Energy relative to the elements, eV per atom: 0.90
Energy relative to the lowest polymorph listed for this composition, meV/atom: 0
Energy, eV/atom: -6.995
Space-group type: Pm-3m (221)



(14)
A plane-wave DFT calculation with PBE was carried out for a geometry-optimized AlTcAs2 structure.

a = 4.794 Å, b = 4.794 Å, c = 5.558 Å
α = 90.00°, β = 90.00°, γ = 90.00°
Fractional positions:
Al 0.000 0.000 0.000
Al 0.500 0.500 0.500
Tc 0.000 0.000 0.500
Tc 0.500 0.500 0.000
As 0.000 0.500 0.250
As 0.000 0.500 0.750
As 0.500 0.000 0.250
As 0.500 0.000 0.750

Summary:
Energy relative to the elements, eV per atom: 0.08
Energy, eV/atom: -5.775
Space-group type: I4/mmm (139)



(15)
A plane-wave DFT calculation with PBE was carried out for a geometry-optimized AlTc2As structure.

a = 2.927 Å, b = 2.927 Å, c = 24.219 Å
α = 90.00°, β = 90.00°, γ = 120.00°
Fractional positions:
Al 0.000 0.000 0.000
Al 0.333 0.667 0.667
Al 0.667 0.333 0.333
Tc 0.000 0.000 0.246
Tc 0.000 0.000 0.754
Tc 0.333 0.667 0.421
Tc 0.333 0.667 0.913
Tc 0.667 0.333 0.087
Tc 0.667 0.333 0.579
As 0.000 0.000 0.500
As 0.333 0.667 0.167
As 0.667 0.333 0.833

Summary:
Energy relative to the elements, eV per atom: -0.05
Energy relative to the lowest polymorph listed for this composition, meV/atom: 163
Energy, eV/atom: -7.328
Space-group type: R-3m (166)



no.,calculated density (g/cm³)
1,7.11
2,6.03
3,6.55
4,6.89
5,6.47
6,7.28
7,3.96
8,6.40
9,6.85
10,4.99
11,8.45
12,7.44
13,7.09
14,7.15
15,8.26